No. 1
A plane-wave DFT calculation with PBE was carried out for an optimized crystal structure of SrCd3In9.

Calculated values
Total magnetization: 0.000 μB per formula unit
ΔH_f (0 K): -68 meV/atom
SG: C2/m (12)

Structure (POSCAR):
```
SrCd3In9
1.0
2.9972 -7.9287 0.0000
2.9972 7.9287 0.0000
-2.8223 0.0000 7.5137
Sr Cd In
1 3 9
Cartesian
0.0000 0.0000 0.0000
-1.4112 0.0000 3.7569
1.4986 3.9644 0.0000
1.4986 -3.9644 0.0000
0.1256 5.0988 4.8408
0.1059 1.6837 5.9440
3.0466 5.0988 2.6730
0.1059 -1.6837 5.9440
1.5861 0.0000 3.7569
3.0662 1.6837 1.5697
0.1256 -5.0988 4.8408
3.0662 -1.6837 1.5697
3.0466 -5.0988 2.6730
```

=====

No. 2
A plane-wave DFT calculation with PBE was carried out for an optimized crystal structure of SrCdIn6.

Calculated values
E above lowest polymorph: 0.000 eV per atom
Total magnetization: 0.000 μB per formula unit
ΔH_f (0 K): -141 meV/atom
SG: P4/mmm (123)

Structure (POSCAR):
```
SrCdIn6
1.0
5.1835 0.0000 0.0000
0.0000 5.1835 0.0000
0.0000 0.0000 8.7590
Sr Cd In
1 1 6
Cartesian
0.0000 0.0000 0.0000
0.0000 0.0000 4.3795
0.0000 2.5918 2.8320
0.0000 2.5918 5.9270
2.5918 0.0000 2.8320
2.5918 0.0000 5.9270
2.5918 2.5918 1.3960
2.5918 2.5918 7.3631
```

=====

no.,total energy (eV/atom)
1,-2.305
2,-2.520